No. 1
Here is an optimized crystal structure of Ba2PbBr from Alexandria. Energies are from PBEsol.

extended XYZ file:
```
4
Lattice="5.792 0.000 0.000 0.000 2.011 6.537 0.000 -2.011 6.537" Properties=species:S:1:pos:R:3 pbc="T T T"
Ba 0.000 0.000 0.000
Ba 2.896 0.000 3.198
Pb 0.000 0.000 9.592
Br 2.896 0.000 6.464
```

Values from the calculation:
Crystal system: orthorhombic
Mass density, Mg/m³: 6.12
ΔE to the lowest computed polymorph, meV/atom: 9
Space group: Amm2, No. 38
Uncorrected formation energy, eV per formula unit: -4.320
D(E_F), states/eV/atom: 0.433


No. 2
Here is an optimized crystal structure of Ba2PbBr from Alexandria. Energies are from PBEsol.

extended XYZ file:
```
4
Lattice="4.393 0.000 0.000 0.000 5.336 0.000 0.000 0.000 6.875" Properties=species:S:1:pos:R:3 pbc="T T T"
Ba 0.000 0.000 0.000
Ba 2.196 2.668 3.438
Pb 0.000 0.000 3.438
Br 2.196 2.668 0.000
```

Values from the calculation:
Crystal system: orthorhombic
Mass density, Mg/m³: 5.79
ΔE to the lowest computed polymorph, meV/atom: 0
Space group: Pmmm, No. 47
Uncorrected formation energy, eV per formula unit: -4.355
D(E_F), states/eV/atom: 0.712


No. 3
Here is an optimized crystal structure of BaPbBr3 from Alexandria. Energies are from PBEsol.

extended XYZ file:
```
5
Lattice="5.828 0.000 0.000 0.000 5.828 0.000 0.000 0.000 5.828" Properties=species:S:1:pos:R:3 pbc="T T T"
Ba 0.000 0.000 0.000
Pb 2.914 2.914 2.914
Br 0.000 2.914 2.914
Br 2.914 0.000 2.914
Br 2.914 2.914 0.000
```

Values from the calculation:
Crystal system: cubic
Mass density, Mg/m³: 4.90
Space group: Pm-3m, No. 221
Uncorrected formation energy, eV per formula unit: -4.918
D(E_F), states/eV/atom: 0.583